Model 1:
This record from Alexandria describes a relaxed structure of Sn2GePd8. The functional is PBE-GGA.

Calculated values
As for the crystal system: orthorhombic. The space group is Immm, No. 71.

Cell and atoms, written as POSCAR:
```
Sn2GePd8
1.0
3.9891 0.0000 -1.2141
-1.1191 6.4742 -3.6771
0.0352 -0.2393 7.2765
Pd Sn Ge
8 2 1
Direct
0.8657 0.8657 0.7314 Pd
0.3419 0.1077 0.6839 Pd
0.6581 0.4238 0.3162 Pd
0.6581 0.8923 0.3161 Pd
0.3419 0.5762 0.6838 Pd
0.0000 0.3057 0.0000 Pd
0.0000 0.6943 0.0000 Pd
0.1343 0.1343 0.2686 Pd
0.1881 0.6881 0.3763 Sn
0.8119 0.3119 0.6237 Sn
0.5000 0.0000 0.0000 Ge
```


Model 2:
This record from Alexandria describes a relaxed structure of Sn2GePd8. The functional is PBE-GGA.

Calculated values
As for the crystal system: monoclinic. The space group is C2/m, No. 12.

Cell and atoms, written as POSCAR:
```
Sn2GePd8
1.0
-1.7052 -4.0708 -1.1364
2.2257 0.5611 -5.3497
5.6204 -1.2684 5.2489
Sn Pd Ge
2 8 1
Direct
0.1799 0.6806 0.3598 Sn
0.8201 0.3194 0.6402 Sn
0.6316 0.4032 0.2632 Pd
0.8163 0.7985 0.6327 Pd
0.9955 0.2431 0.9909 Pd
0.3546 0.0988 0.7092 Pd
0.6454 0.9012 0.2908 Pd
0.3684 0.5968 0.7368 Pd
0.1837 0.2015 0.3673 Pd
0.0045 0.7569 0.0091 Pd
0.5000 0.0000 0.0000 Ge
```


Energies, relative to the best one, in eV/atom: model 1 0.023; model 2 0.000.


Model 1:
This record from Alexandria describes a relaxed structure of SnGePd4. The functional is PBE-GGA.

Calculated values
As for the crystal system: monoclinic. The space group is P2_1/c, No. 14.

Cell and atoms, written as POSCAR:
```
SnGePd4
1.0
4.5846 0.0000 0.2296
0.0000 5.6653 0.0000
-0.3784 0.0000 7.8721
Pd Sn Ge
8 2 2
Direct
0.4988 0.3932 0.3404 Pd
0.0007 0.4064 0.8148 Pd
0.9993 0.5936 0.1852 Pd
0.4993 0.9064 0.1852 Pd
0.0012 0.8932 0.6596 Pd
0.5012 0.6068 0.6596 Pd
0.9988 0.1068 0.3404 Pd
0.5007 0.0936 0.8148 Pd
0.5000 0.5000 0.0000 Sn
0.0000 0.0000 0.0000 Sn
0.5000 0.0000 0.5000 Ge
0.0000 0.5000 0.5000 Ge
```


Model 2:
This record from Alexandria describes a relaxed structure of SnGePd4. The functional is PBE-GGA.

Calculated values
As for the crystal system: orthorhombic. The space group is Pnma, No. 62.

Cell and atoms, written as POSCAR:
```
SnGePd4
1.0
3.4710 0.0000 0.0000
0.0000 6.9924 0.0000
0.0000 0.0000 16.3207
Pd Ge Sn
16 4 4
Direct
0.2500 0.0497 0.7931 Pd
0.2500 0.5137 0.4334 Pd
0.7500 0.9503 0.2069 Pd
0.7500 0.8731 0.4481 Pd
0.2500 0.6269 0.9481 Pd
0.2500 0.6299 0.1558 Pd
0.2500 0.1269 0.5519 Pd
0.7500 0.4503 0.2931 Pd
0.7500 0.3731 0.0519 Pd
0.7500 0.8701 0.6558 Pd
0.7500 0.3701 0.8442 Pd
0.7500 0.9863 0.9334 Pd
0.7500 0.4863 0.5666 Pd
0.2500 0.1299 0.3442 Pd
0.2500 0.5497 0.7069 Pd
0.2500 0.0137 0.0666 Pd
0.7500 0.2489 0.4441 Ge
0.2500 0.7511 0.5559 Ge
0.7500 0.7489 0.0559 Ge
0.2500 0.2511 0.9441 Ge
0.7500 0.2390 0.6881 Sn
0.2500 0.2610 0.1881 Sn
0.2500 0.7610 0.3119 Sn
0.7500 0.7390 0.8119 Sn
```


Energies, relative to the best one, in eV/atom: model 1 0.102; model 2 0.000.


Model 1:
This record from Alexandria describes a relaxed structure of Sr2GePd6. The functional is PBE-GGA.

Calculated values
As for the crystal system: monoclinic. The space group is C2/m, No. 12.

Cell and atoms, written as POSCAR:
```
Sr2GePd6
1.0
5.8511 0.0000 0.0000
-2.9255 4.9414 1.2018
0.0000 0.2248 6.1565
Pd Sr Ge
6 2 1
Direct
0.8840 0.7680 0.6901 Pd
0.3939 0.2762 0.6883 Pd
0.1160 0.2320 0.3099 Pd
0.1177 0.7238 0.3117 Pd
0.8823 0.2762 0.6883 Pd
0.6061 0.7238 0.3117 Pd
0.3613 0.7227 0.8298 Sr
0.6387 0.2773 0.1702 Sr
0.0000 0.0000 0.0000 Ge
```


Model 2:
This record from Alexandria describes a relaxed structure of Sr2GePd6. The functional is PBE-GGA.

Calculated values
As for the crystal system: trigonal. The space group is P-3m1, No. 164.

Cell and atoms, written as POSCAR:
```
Sr2GePd6
1.0
5.8417 -0.0301 -0.0174
0.0308 5.8955 0.0062
0.0308 2.9425 5.1086
Pd Sr Ge
6 2 1
Direct
0.6922 0.6586 0.1707 Pd
0.3078 0.8293 0.3414 Pd
0.3079 0.8293 0.8293 Pd
0.6921 0.1707 0.1707 Pd
0.3078 0.3414 0.8293 Pd
0.6922 0.1707 0.6586 Pd
0.1783 0.3333 0.3333 Sr
0.8217 0.6667 0.6667 Sr
0.0000 0.0000 0.0000 Ge
```


Energies, relative to the best one, in eV/atom: model 1 0.000; model 2 0.027.


Model 1:
This record from Alexandria describes a relaxed structure of SrGePd3. The functional is PBE-GGA.

Calculated values
As for the crystal system: cubic. The space group is Pm-3m, No. 221.

Cell and atoms, written as POSCAR:
```
SrGePd3
1.0
5.1359 0.0000 0.0000
0.0000 5.1359 0.0000
0.0000 0.0000 5.1359
Sr Pd Ge
1 3 1
Direct
0.0000 0.0000 0.0000 Sr
0.0000 0.5000 0.0000 Pd
0.0000 0.0000 0.5000 Pd
0.5000 0.0000 0.0000 Pd
0.5000 0.5000 0.5000 Ge
```


Model 2:
This record from Alexandria describes a relaxed structure of SrGePd3. The functional is PBE-GGA.

Calculated values
As for the crystal system: orthorhombic. The space group is Imma, No. 74.

Cell and atoms, written as POSCAR:
```
SrGePd3
1.0
5.7091 0.0000 0.0000
0.0000 8.1553 0.0000
-2.8546 -4.0777 4.5864
Pd Sr Ge
6 2 2
Direct
0.2679 0.7679 0.0357 Pd
0.7500 0.1253 0.5000 Pd
0.2321 0.2321 0.9643 Pd
0.7321 0.2321 0.9643 Pd
0.2500 0.8747 0.5000 Pd
0.7679 0.7679 0.0357 Pd
0.7500 0.7111 0.5000 Sr
0.2500 0.2889 0.5000 Sr
0.0000 0.5000 0.0000 Ge
0.5000 0.0000 0.0000 Ge
```


Model 3:
This record from Alexandria describes a relaxed structure of SrGePd3. The functional is PBE-GGA.

Calculated values
As for the crystal system: hexagonal. The space group is P6_3/mmc, No. 194.

Cell and atoms, written as POSCAR:
```
SrGePd3
1.0
-3.4072 5.0973 -1.4833
-2.1117 -4.0482 4.3525
5.6724 6.2966 8.6084
Pd Sr Ge
12 4 4
Direct
0.1436 0.2872 0.7500 Pd
0.5000 0.5000 0.0000 Pd
0.1436 0.8564 0.7500 Pd
0.8564 0.1436 0.2500 Pd
0.8564 0.7128 0.2500 Pd
0.0000 0.5000 0.5000 Pd
0.7128 0.8564 0.7500 Pd
0.5000 0.5000 0.5000 Pd
0.0000 0.5000 0.0000 Pd
0.2872 0.1436 0.2500 Pd
0.5000 0.0000 0.0000 Pd
0.5000 0.0000 0.5000 Pd
0.0000 0.0000 0.5000 Sr
0.3333 0.6667 0.2500 Sr
0.6667 0.3333 0.7500 Sr
0.0000 0.0000 0.0000 Sr
0.6667 0.3333 0.1374 Ge
0.6667 0.3333 0.3626 Ge
0.3333 0.6667 0.8626 Ge
0.3333 0.6667 0.6374 Ge
```


Energies, relative to the best one, in eV/atom: model 1 1.618; model 2 0.000; model 3 0.097.


Model 1:
This record from Alexandria describes a relaxed structure of Sr2Ge3Pd2. The functional is PBE-GGA.

Calculated values
As for the crystal system: monoclinic. The space group is C2/m, No. 12.

Cell and atoms, written as POSCAR:
```
Sr2Ge3Pd2
1.0
-3.8881 0.4554 1.7634
-0.4337 -2.2728 -5.5963
1.9210 -4.6265 5.4304
Ge Pd Sr
3 2 2
Direct
0.5000 0.0000 0.0000 Ge
0.6377 0.2754 0.4406 Ge
0.3623 0.7246 0.5594 Ge
0.1253 0.2505 0.2161 Pd
0.8747 0.7495 0.7839 Pd
0.8579 0.7158 0.2353 Sr
0.1421 0.2842 0.7647 Sr
```


Model 2:
This record from Alexandria describes a relaxed structure of Sr2Ge3Pd2. The functional is PBE-GGA.

Calculated values
As for the crystal system: orthorhombic. The space group is Cmcm, No. 63.

Cell and atoms, written as POSCAR:
```
Sr2Ge3Pd2
1.0
4.3519 0.0000 -1.0375
0.0000 7.2893 0.0000
0.0077 0.0000 9.6778
Pd Sr Ge
4 4 6
Direct
0.3058 0.4481 0.6115 Pd
0.3058 0.0519 0.6115 Pd
0.6942 0.5519 0.3885 Pd
0.6942 0.9481 0.3885 Pd
0.0608 0.7500 0.1217 Sr
0.1569 0.2500 0.3138 Sr
0.8431 0.7500 0.6862 Sr
0.9392 0.2500 0.8783 Sr
0.5601 0.0745 0.1201 Ge
0.7723 0.2500 0.5446 Ge
0.4399 0.5745 0.8799 Ge
0.4399 0.9255 0.8799 Ge
0.2277 0.7500 0.4554 Ge
0.5601 0.4255 0.1201 Ge
```


Energies, relative to the best one, in eV/atom: model 1 0.063; model 2 0.000.